# 1
Ba2SrPbSe4 | GGA-PBE | relaxed

```
Ba2SrPbSe4
1.0
-0.8254 4.3424 1.1918
-6.8735 -0.2341 -3.9070
-5.7514 -2.4386 4.9019
Ba Sr Pb Se
2 1 1 4
Cartesian
-5.7514 -2.4386 4.9019 Ba
-3.2884 0.9519 3.0469 Ba
-6.3124 -1.3363 0.4975 Sr
-9.6008 -0.3844 3.5443 Pb
-9.3968 -2.0106 0.8181 Se
-4.0535 3.6803 1.3686 Se
-6.9371 1.3769 -1.0283 Se
-6.5132 0.2928 3.2151 Se
```

Calculated values
energy relative to the elements, uncorrected = -1.672 eV/atom
size of the total moment = 0.0 Bohr magnetons per cell
Fermi-level density of states = 0.000 states/eV/cell



# 2
La6TbHoEr2 | GGA-PBE | relaxed

```
La6TbHoEr2
1.0
9.3398 -2.0661 -2.1441
0.7386 8.7481 -2.0428
0.7386 -2.3656 8.6663
La Tb Ho Er
12 2 2 4
Cartesian
1.1242 -0.9508 6.2489 La
5.0228 -0.9304 6.2701 La
9.6927 5.2672 -1.7695 La
5.7941 5.2468 -1.7907 La
3.9247 7.0423 1.1063 La
2.2223 4.5048 -1.5270 La
6.8921 -2.7259 3.3731 La
8.5946 -0.1884 6.0064 La
2.0057 4.7458 2.5678 La
4.1414 2.9593 0.7137 La
8.8112 -0.4295 1.9116 La
6.6755 1.3571 3.7657 La
3.0735 7.9466 -2.3043 Tb
7.7434 -3.6302 6.7837 Tb
3.0735 1.6910 3.7236 Ho
7.7434 2.6253 0.7558 Ho
5.3559 4.4079 3.5273 Er
0.7911 1.9879 1.0159 Er
5.4609 -0.0915 0.9521 Er
10.0258 2.3285 3.4635 Er
```

Calculated values
size of the total moment = 0.0 Bohr magnetons per cell
Fermi-level density of states = 30.744 states/eV/cell
formation enthalpy at 0 K = 0.108 eV per atom



# 3
BeHg2Te | GGA-PBE | relaxed

```
BeHg2Te
1.0
7.1788 0.0213 0.0227
-4.9883 5.1626 0.0227
1.1070 2.6197 2.7735
Be Te Hg
1 1 2
Cartesian
-1.9406 3.8912 1.3981 Be
4.1429 1.3205 1.3981 Te
0.0000 0.0000 0.0000 Hg
1.0953 2.5920 0.0227 Hg
```

Calculated values
energy relative to the elements, uncorrected = 0.328 eV/atom
distance to the lowest polymorph of the same formula = 361 meV/atom
size of the total moment = 0.0 Bohr magnetons per cell
Fermi-level density of states = 1.179 states/eV/cell



# 4
Y2TlP | GGA-PBE | relaxed

```
Y2TlP
1.0
-0.2763 -3.4474 -1.8898
3.8932 -0.5034 0.3492
-1.0456 -3.5225 6.5785
Y Tl P
2 1 1
Cartesian
-1.0302 -3.4706 6.4816 Y
1.4171 -3.2939 1.6920 Y
0.9743 -4.7858 4.4782 Tl
-0.3582 -1.2068 2.2537 P
```

Calculated values
distance to the lowest polymorph of the same formula = 326 meV/atom
size of the total moment = 0.0 Bohr magnetons per cell
Fermi-level density of states = 1.211 states/eV/cell
formation enthalpy at 0 K = -0.671 eV per atom



# 5
Sm3I7O | GGA-PBE | relaxed

```
Sm3I7O
1.0
-5.9320 -2.4286 -4.5575
-4.5223 -2.0191 6.9621
-0.6139 7.8265 -3.3715
Sm I O
3 7 1
Cartesian
-7.0105 1.2390 -1.8669 Sm
-7.2831 4.7136 -3.3638 Sm
-5.0028 2.1354 -4.9578 Sm
-1.3025 6.2150 -1.7500 I
-0.9856 2.1746 -0.0095 I
-9.0900 -1.1406 -0.9927 I
-7.0732 -1.6893 2.7797 I
-4.8119 -0.6797 -0.7016 I
-7.3801 2.2242 1.0938 I
-3.6371 5.1726 1.8441 I
-6.0264 2.8621 -3.0844 O
```

Calculated values
energy relative to the elements, uncorrected = -1.698 eV/atom
size of the total moment = 0.0 Bohr magnetons per cell
Fermi-level density of states = 0.000 states/eV/cell



# 6
Sc3NbZn | GGA-PBE | relaxed

```
Sc3NbZn
1.0
4.9606 0.0000 0.0000
0.0000 4.9606 0.0000
0.0000 0.0000 4.9606
Sc Nb Zn
3 1 1
Cartesian
0.0000 2.4803 0.0000 Sc
0.0000 0.0000 2.4803 Sc
2.4803 0.0000 0.0000 Sc
2.4803 2.4803 2.4803 Nb
0.0000 0.0000 0.0000 Zn
```

Calculated values
distance to the lowest polymorph of the same formula = 0 meV/atom
size of the total moment = 2.1 Bohr magnetons per cell
Fermi-level density of states = 8.655 states/eV/cell
formation enthalpy at 0 K = 0.669 eV per atom



# 7
LiMg2Re | GGA-PBE | relaxed

```
LiMg2Re
1.0
7.0133 0.0000 0.0000
0.0000 7.0133 0.0000
3.5066 3.5066 2.7187
Re Mg Li
2 4 2
Cartesian
0.0000 0.0000 0.0000 Re
7.0133 3.5066 1.3594 Re
5.0691 1.7533 0.6797 Mg
1.9442 5.2600 0.6797 Mg
5.2600 5.4508 2.0390 Mg
8.7666 8.5757 2.0390 Mg
3.5066 3.5066 0.0000 Li
3.5066 7.0133 1.3594 Li
```

Calculated values
distance to the lowest polymorph of the same formula = 602 meV/atom
size of the total moment = 0.0 Bohr magnetons per cell
Fermi-level density of states = 5.109 states/eV/cell
formation enthalpy at 0 K = 0.783 eV per atom



# 8
CrPbI3 | GGA-PBE | relaxed

```
CrPbI3
1.0
6.2620 0.0000 0.0000
0.0000 6.2620 0.0000
0.0000 0.0000 6.2620
Pb I Cr
1 3 1
Cartesian
0.0000 0.0000 0.0000 Pb
0.0000 3.1310 0.0000 I
0.0000 0.0000 3.1310 I
3.1310 0.0000 0.0000 I
3.1310 3.1310 3.1310 Cr
```

Calculated values
energy relative to the elements, uncorrected = 0.244 eV/atom
distance to the lowest polymorph of the same formula = 323 meV/atom
size of the total moment = 5.0 Bohr magnetons per cell
Fermi-level density of states = 18.209 states/eV/cell